Below is a relaxed structure of V2Ni3Te3O16, with properties calculated at the PBE+U level.

Unit cell a=6.0998 b=6.0998 c=9.2953 alpha=88.35 beta=88.35 gamma=59.55
With the nearest neighbours (Å) after each atom.
Atoms (fractional coordinates):
O 0.4995 0.9449 0.6648  1 Te 1.91, 1 Ni 2.10, 1 V 2.12
O 0.8300 0.8300 0.4121  1 V 1.70
O 0.1700 0.6636 0.8949  1 Te 1.91, 1 V 2.09, 1 Ni 2.09
O 0.5095 0.5095 0.6584  2 Te 2.03
O 0.6636 0.1700 0.8949  1 Te 1.91, 1 V 2.09, 1 Ni 2.09
O 0.4740 0.0555 0.1532  1 V 1.93, 1 Te 2.01
O 0.4897 0.4897 0.1516  1 V 1.69
O 0.0555 0.4740 0.1532  1 V 1.93, 1 Te 2.01
O 0.9449 0.4995 0.6648  1 Te 1.91, 1 Ni 2.10, 1 V 2.12
O 0.3282 0.3282 0.3981  1 Te 1.94, 2 Ni 2.04
O 0.3528 0.8437 0.3996  1 V 1.97, 1 Te 2.00, 1 Ni 2.10
O 0.0161 0.0161 0.1955  1 Te 1.92, 2 Ni 2.01
O 0.9941 0.9941 0.6744  2 Te 2.01, 1 Ni 2.11
O 0.6434 0.6434 0.9008  2 Te 2.03, 1 Ni 2.10
O 0.8437 0.3528 0.3996  1 V 1.97, 1 Te 2.00, 1 Ni 2.10
O 0.1472 0.1472 0.8901  2 Te 2.00
Te 0.8211 0.3225 0.7828  6 O 1.91-2.03
Te 0.1748 0.1748 0.2901  6 O 1.92-2.01
Te 0.3225 0.8211 0.7828  6 O 1.91-2.03
Ni 0.6742 0.1750 0.2963  6 O 2.01-2.20
Ni 0.8206 0.8206 0.7926  6 O 2.09-2.11
Ni 0.1750 0.6742 0.2963  6 O 2.01-2.20
V 0.3651 0.3651 0.0420  1 O 1.69
V 0.6845 0.6845 0.4953  1 O 1.70

Output
Space group ... Cm (8)
Raw total energy ... -5.80 eV/atom
Magnetic moment ... 8.001 μB/cell